Sr2ZrSb | meta-GGA SCAN | single point on PBEsol structure

```
4
Lattice="-2.294 2.294 5.459 2.294 -2.294 5.459 2.294 2.294 -5.459" Properties=species:S:1:pos:R:3 pbc="T T T"
Sr 2.294 0.000 2.730
Sr 0.000 2.294 2.730
Zr 0.000 0.000 0.000
Sb 0.000 0.000 5.459
```

=====

Sr2ZrSb | meta-GGA SCAN | single point on PBEsol structure

```
4
Lattice="6.005 0.000 0.000 0.000 3.499 0.000 -2.079 0.000 5.677" Properties=species:S:1:pos:R:3 pbc="T T T"
Sr 0.000 0.000 0.000
Sr -1.040 1.750 2.839
Zr 1.963 0.000 2.839
Sb 3.002 1.750 0.000
```

=====

Sr2ZrSb | meta-GGA SCAN | single point on PBEsol structure

```
4
Lattice="-2.018 2.778 5.807 2.018 -2.778 5.807 2.018 2.778 -5.807" Properties=species:S:1:pos:R:3 pbc="T T T"
Sr 0.000 0.000 0.000
Sr 0.000 2.778 2.348
Zr 2.018 0.000 3.377
Sb 0.000 0.000 5.390
```

=====

Number 1: total energy -28.1909 eV per atom, uncorrected formation energy -6.1 kJ/mol of atoms. Number 2: total energy -27.9547 eV per atom, uncorrected formation energy 16.7 kJ/mol of atoms. Number 3: total energy -28.3408 eV per atom, uncorrected formation energy -20.6 kJ/mol of atoms.